{"formula": "LiCr4Au", "functional": "GGA-PBE", "state": "relaxed", "lattice_angstrom": [[0.000, 3.404, 3.404], [3.404, 0.000, 3.404], [3.404, 3.404, 0.000]], "species": ["Li", "Cr", "Cr", "Cr", "Cr", "Au"], "fractional_positions": [[0.000, 0.000, 0.000], [0.370, 0.370, 0.370], [0.370, 0.370, 0.889], [0.370, 0.889, 0.370], [0.889, 0.370, 0.370], [0.750, 0.750, 0.750]], "dos_ef_per_ev_atom": 0.930, "final_energy_ev_per_atom": -6.92, "volume_a3_per_atom": 13.1, "magmom_total_mub_per_cell": 0.00}

=====

{"formula": "LiCr2Au", "functional": "GGA-PBE", "state": "relaxed", "lattice_angstrom": [[0.000, 3.100, 3.100], [3.100, 0.000, 3.100], [3.100, 3.100, 0.000]], "species": ["Li", "Cr", "Cr", "Au"], "fractional_positions": [[0.000, 0.000, 0.000], [0.500, 0.500, 0.500], [0.750, 0.750, 0.750], [0.250, 0.250, 0.250]], "dos_ef_per_ev_atom": 0.503, "final_energy_ev_per_atom": -5.97, "volume_a3_per_atom": 14.9, "magmom_total_mub_per_cell": 0.31}

=====

{"formula": "Li2CrAu9", "functional": "GGA-PBE", "state": "relaxed", "lattice_angstrom": [[4.089, 0.000, 0.000], [0.000, 4.089, 0.000], [0.000, 0.000, 12.253]], "species": ["Li", "Li", "Cr", "Au", "Au", "Au", "Au", "Au", "Au", "Au", "Au", "Au"], "fractional_positions": [[0.000, 0.000, 0.164], [0.000, 0.000, 0.836], [0.000, 0.000, 0.500], [0.000, 0.500, 0.000], [0.000, 0.500, 0.331], [0.000, 0.500, 0.669], [0.500, 0.000, 0.000], [0.500, 0.000, 0.331], [0.500, 0.000, 0.669], [0.500, 0.500, 0.165], [0.500, 0.500, 0.500], [0.500, 0.500, 0.835]], "dos_ef_per_ev_atom": 0.354, "final_energy_ev_per_atom": -3.79, "volume_a3_per_atom": 17.1, "magmom_total_mub_per_cell": 4.55}

=====

{"formula": "LiCr2Au", "functional": "GGA-PBE", "state": "relaxed", "lattice_angstrom": [[3.659, 0.000, 0.000], [0.000, 3.686, 0.000], [0.000, 0.000, 4.287]], "species": ["Li", "Cr", "Cr", "Au"], "fractional_positions": [[0.000, 0.000, 0.000], [0.000, 0.500, 0.500], [0.500, 0.000, 0.500], [0.500, 0.500, 0.000]], "dos_ef_per_ev_atom": 0.390, "final_energy_ev_per_atom": -6.06, "volume_a3_per_atom": 14.5, "magmom_total_mub_per_cell": 0.00}

=====

{"formula": "LiCrAu2", "functional": "GGA-PBE", "state": "relaxed", "lattice_angstrom": [[4.141, -1.424, 0.000], [4.141, 1.424, 0.000], [-0.777, 0.000, 5.851]], "species": ["Li", "Cr", "Au", "Au"], "fractional_positions": [[0.000, 0.000, 0.000], [0.500, 0.500, 0.500], [0.244, 0.244, 0.764], [0.756, 0.756, 0.236]], "dos_ef_per_ev_atom": 0.492, "final_energy_ev_per_atom": -4.48, "volume_a3_per_atom": 17.2, "magmom_total_mub_per_cell": 4.33}

=====

{"formula": "LiCr2Au", "functional": "GGA-PBE", "state": "relaxed", "lattice_angstrom": [[2.632, 0.000, 0.000], [0.000, 4.519, 0.000], [-1.142, 0.000, 4.563]], "species": ["Li", "Cr", "Cr", "Au"], "fractional_positions": [[0.000, 0.000, 0.000], [0.286, 0.500, 0.794], [0.714, 0.500, 0.206], [0.500, 0.000, 0.500]], "dos_ef_per_ev_atom": 1.048, "final_energy_ev_per_atom": -5.79, "volume_a3_per_atom": 13.6, "magmom_total_mub_per_cell": 0.27}

=====

What did the first record say?
{"formula": "LiCr4Au", "functional": "GGA-PBE", "state": "relaxed", "lattice_angstrom": [[0.000, 3.404, 3.404], [3.404, 0.000, 3.404], [3.404, 3.404, 0.000]], "species": ["Li", "Cr", "Cr", "Cr", "Cr", "Au"], "fractional_positions": [[0.000, 0.000, 0.000], [0.370, 0.370, 0.370], [0.370, 0.370, 0.889], [0.370, 0.889, 0.370], [0.889, 0.370, 0.370], [0.750, 0.750, 0.750]], "dos_ef_per_ev_atom": 0.930, "final_energy_ev_per_atom": -6.92, "volume_a3_per_atom": 13.1, "magmom_total_mub_per_cell": 0.00}

=====

Q: Number 6 is which compound?
A: LiCr2Au